(1)
Entry from the Alexandria database: a geometry-optimized RbMgNb structure (PBE-GGA).

Lattice parameters (Å, degrees): 9.5018 4.3202 11.6396 90.00 90.00 90.00
Last column: nearest neighbours and their distance in Å.
Positions (direct):
1 Nb 0.0535 0.2500 0.4801  2 Nb 2.43
2 Nb 0.4465 0.7500 0.9801  2 Nb 2.43
3 Nb 0.9465 0.7500 0.5199  2 Nb 2.43
4 Nb 0.5535 0.2500 0.0199  2 Nb 2.43
5 Mg 0.7678 0.2500 0.4018  3 Nb 2.86-3.07
6 Mg 0.7322 0.7500 0.9018  3 Nb 2.86-3.07
7 Mg 0.2322 0.7500 0.5982  3 Nb 2.86-3.07
8 Mg 0.2678 0.2500 0.0982  3 Nb 2.86-3.07
9 Rb 0.0669 0.2500 0.8228  5 Mg 3.73-3.95, 1 Nb 3.99
10 Rb 0.4331 0.7500 0.3228  5 Mg 3.73-3.95, 1 Nb 3.99
11 Rb 0.9331 0.7500 0.1772  5 Mg 3.73-3.95, 1 Nb 3.99
12 Rb 0.5669 0.2500 0.6772  5 Mg 3.73-3.95, 1 Nb 3.99

Values from the calculation:
* volume: 39.82 Å³ per atom
* ΔH_f (0 K): 898 meV per atom
* uncorrected energy: -3.31 eV/atom
* spin magnetization: 0.00 μB per formula unit

---

(2)
Entry from the Alexandria database: a geometry-optimized ScNbPd structure (PBE-GGA).

Lattice parameters (Å, degrees): 4.5170 3.2757 14.8988 90.00 92.73 90.00
Last column: nearest neighbours and their distance in Å.
Positions (direct):
1 Sc 0.7353 0.0000 0.0791  6 Pd 2.75-3.03
2 Sc 0.2647 0.0000 0.9209  6 Pd 2.75-3.03
3 Sc 0.7353 0.5000 0.5791  6 Pd 2.75-3.03
4 Sc 0.2647 0.5000 0.4209  6 Pd 2.75-3.03
5 Nb 0.2481 0.0000 0.2443  4 Nb 2.79-2.80, 2 Pd 2.80, 2 Sc 3.10
6 Nb 0.7519 0.0000 0.7557  4 Nb 2.79-2.80, 2 Pd 2.80, 2 Sc 3.10
7 Nb 0.2481 0.5000 0.7443  4 Nb 2.79-2.80, 2 Pd 2.80, 2 Sc 3.10
8 Nb 0.7519 0.5000 0.2557  4 Nb 2.79-2.80, 2 Pd 2.80, 2 Sc 3.10
9 Pd 0.2257 0.0000 0.5914  6 Sc 2.75-3.03, 2 Nb 2.80
10 Pd 0.7743 0.0000 0.4086  6 Sc 2.75-3.03, 2 Nb 2.80
11 Pd 0.2257 0.5000 0.0914  6 Sc 2.75-3.03, 2 Nb 2.80
12 Pd 0.7743 0.5000 0.9086  6 Sc 2.75-3.03, 2 Nb 2.80

Values from the calculation:
* volume: 18.35 Å³ per atom
* ΔH_f (0 K): -463 meV per atom
* uncorrected energy: -7.66 eV/atom
* spin magnetization: 0.00 μB per formula unit

---

(3)
Entry from the Alexandria database: a geometry-optimized Hf3SiN structure (PBE-GGA).

Lattice parameters (Å, degrees): 4.3694 4.3694 4.3694 90.00 90.00 90.00
Last column: nearest neighbours and their distance in Å.
Positions (direct):
1 Si 0.5000 0.5000 0.5000  12 Hf 3.09
2 Hf 0.0000 0.5000 0.0000  2 N 2.18
3 Hf 0.0000 0.0000 0.5000  2 N 2.18
4 Hf 0.5000 0.0000 0.0000  2 N 2.18
5 N 0.0000 0.0000 0.0000  6 Hf 2.18

Values from the calculation:
* E_form (uncorrected): -0.7072 eV per atom
* volume: 16.68 Å³ per atom
* uncorrected energy: -9.43 eV/atom
* spin magnetization: 0.00 μB per formula unit

---

(4)
Entry from the Alexandria database: a geometry-optimized Na3Ce2ScS6 structure (PBE-GGA).

Lattice parameters (Å, degrees): 6.9592 6.9592 7.0523 99.49 99.49 120.02
Last column: nearest neighbours and their distance in Å.
Positions (direct):
1 Na 0.1659 0.8341 0.5000  6 S 2.90-3.05
2 Na 0.8341 0.1659 0.5000  6 S 2.90-3.05
3 Na 0.5000 0.5000 0.5000  6 S 2.90-3.06
4 Ce 0.3332 0.6668 0.0000  6 S 2.82-2.83
5 Ce 0.6668 0.3332 0.0000  6 S 2.82-2.83
6 Sc 0.0000 0.0000 0.0000  6 S 2.65-2.66
7 S 0.9241 0.6092 0.7725  1 Sc 2.66, 2 Ce 2.82-2.83, 2 Na 2.90
8 S 0.7605 0.7605 0.2244  1 Sc 2.65, 2 Ce 2.82, 2 Na 2.90
9 S 0.0759 0.3908 0.2275  1 Sc 2.66, 2 Ce 2.82-2.83, 2 Na 2.90
10 S 0.6092 0.9241 0.7725  1 Sc 2.66, 2 Ce 2.82-2.83, 2 Na 2.90
11 S 0.2395 0.2395 0.7756  1 Sc 2.65, 2 Ce 2.82, 2 Na 2.90
12 S 0.3908 0.0759 0.2275  1 Sc 2.66, 2 Ce 2.82-2.83, 2 Na 2.90

Values from the calculation:
* E_form (uncorrected): -1.7183 eV per atom
* volume: 23.26 Å³ per atom
* uncorrected energy: -5.63 eV/atom
* spin magnetization: 2.03 μB per formula unit

---

(5)
Entry from the Alexandria database: a geometry-optimized CaZn2Os structure (PBE-GGA).

Lattice parameters (Å, degrees): 9.4907 9.4907 9.4907 17.87 17.87 17.87
Last column: nearest neighbours and their distance in Å.
Positions (direct):
1 Zn 0.0096 0.0096 0.0096  3 Os 2.68, 6 Zn 2.95
2 Zn 0.4904 0.4904 0.4904  3 Os 2.68, 6 Zn 2.95
3 Os 0.7500 0.7500 0.7500  6 Zn 2.68, 6 Os 2.95
4 Ca 0.2500 0.2500 0.2500  6 Ca 2.95, 6 Zn 3.11

Values from the calculation:
* volume: 17.57 Å³ per atom
* ΔH_f (0 K): 432 meV per atom
* uncorrected energy: -3.51 eV/atom
* spin magnetization: 0.00 μB per formula unit

---

(6)
Entry from the Alexandria database: a geometry-optimized FeCoIr2 structure (PBE-GGA).

Lattice parameters (Å, degrees): 4.5879 4.5879 4.5879 132.42 132.42 69.57
Last column: nearest neighbours and their distance in Å.
Positions (direct):
1 Ir 0.0000 0.0000 0.0000  4 Co 2.62, 4 Ir 2.64, 4 Fe 2.64
2 Ir 0.2500 0.7500 0.5000  4 Fe 2.62, 4 Ir 2.64, 4 Co 2.64
3 Co 0.5000 0.5000 0.0000  8 Ir 2.62-2.64, 4 Fe 2.64
4 Fe 0.7500 0.2500 0.5000  8 Ir 2.62-2.64, 4 Co 2.64

Values from the calculation:
* volume: 12.91 Å³ per atom
* ΔH_f (0 K): -38 meV per atom
* uncorrected energy: -8.36 eV/atom
* spin magnetization: 3.40 μB per formula unit

---

(7)
Entry from the Alexandria database: a geometry-optimized CaDy3Hg12 structure (PBE-GGA).

Lattice parameters (Å, degrees): 4.5587 4.5587 19.0246 90.00 90.00 90.00
Last column: nearest neighbours and their distance in Å.
Positions (direct):
1 Ca 0.0000 0.0000 0.0000  12 Hg 3.22-3.34
2 Dy 0.0000 0.0000 0.2496  12 Hg 3.22-3.32
3 Dy 0.0000 0.0000 0.5000  12 Hg 3.22-3.28
4 Dy 0.0000 0.0000 0.7504  12 Hg 3.22-3.32
5 Hg 0.5000 0.5000 0.0000  4 Ca 3.22, 8 Hg 3.34
6 Hg 0.5000 0.5000 0.2529  4 Dy 3.22, 8 Hg 3.27-3.29
7 Hg 0.5000 0.5000 0.5000  4 Dy 3.22, 8 Hg 3.28
8 Hg 0.5000 0.5000 0.7471  4 Dy 3.22, 8 Hg 3.27-3.29
9 Hg 0.5000 0.0000 0.1283  8 Hg 3.22-3.34, 2 Dy 3.24, 2 Ca 3.34
10 Hg 0.5000 0.0000 0.3761  8 Hg 3.22-3.28, 4 Dy 3.28-3.32
11 Hg 0.5000 0.0000 0.6239  8 Hg 3.22-3.28, 4 Dy 3.28-3.32
12 Hg 0.5000 0.0000 0.8717  8 Hg 3.22-3.34, 2 Dy 3.24, 2 Ca 3.34
13 Hg 0.0000 0.5000 0.1283  8 Hg 3.22-3.34, 2 Dy 3.24, 2 Ca 3.34
14 Hg 0.0000 0.5000 0.3761  8 Hg 3.22-3.28, 4 Dy 3.28-3.32
15 Hg 0.0000 0.5000 0.6239  8 Hg 3.22-3.28, 4 Dy 3.28-3.32
16 Hg 0.0000 0.5000 0.8717  8 Hg 3.22-3.34, 2 Dy 3.24, 2 Ca 3.34

Values from the calculation:
* volume: 24.71 Å³ per atom
* ΔH_f (0 K): -325 meV per atom
* uncorrected energy: -1.54 eV/atom
* spin magnetization: 0.00 μB per formula unit

---

(8)
Entry from the Alexandria database: a geometry-optimized Nb2H3Rh2 structure (PBE-GGA).

Lattice parameters (Å, degrees): 2.9204 5.1038 5.0249 99.81 106.89 90.00
Last column: nearest neighbours and their distance in Å.
Positions (direct):
1 Nb 0.6214 0.8352 0.2429  5 H 2.03-2.13
2 Nb 0.3786 0.1648 0.7571  5 H 2.03-2.13
3 H 0.0000 0.0000 0.0000  2 Rh 2.01, 4 Nb 2.13
4 H 0.7349 0.2099 0.4698  3 Nb 2.03-2.05, 2 Rh 2.07
5 H 0.2651 0.7901 0.5302  3 Nb 2.03-2.05, 2 Rh 2.07
6 Rh 0.8797 0.6352 0.7595  3 H 2.01-2.07
7 Rh 0.1203 0.3648 0.2405  3 H 2.01-2.07

Values from the calculation:
* volume: 10.07 Å³ per atom
* uncorrected energy: -6.71 eV/atom
* spin magnetization: 0.00 μB per formula unit

---

(9)
Entry from the Alexandria database: a geometry-optimized BeGeW2 structure (PBE-GGA).

Lattice parameters (Å, degrees): 4.2837 4.2837 4.2837 60.00 60.00 60.00
Last column: nearest neighbours and their distance in Å.
Positions (direct):
1 Be 0.0000 0.0000 0.0000  8 W 2.62
2 Ge 0.5000 0.5000 0.5000  8 W 2.62
3 W 0.2500 0.2500 0.2500  4 Ge 2.62, 4 Be 2.62
4 W 0.7500 0.7500 0.7500  4 Be 2.62, 4 Ge 2.62

Values from the calculation:
* volume: 13.90 Å³ per atom
* ΔH_f (0 K): 448 meV per atom
* uncorrected energy: -8.11 eV/atom
* spin magnetization: 0.00 μB per formula unit